Computed, not measured: a geometry-optimized Ca3Ce2NdAs6 structure at the GGA-PBE level of DFT.

a = 7.4060 Å, b = 12.8368 Å, c = 7.2579 Å
α = 90.00°, β = 109.93°, γ = 90.00°
Space group C2/m (No. 12)
Inequivalent atoms, fractional coordinates:
Ca: 0.0000 0.0000 0.0000
Ca: 0.0000 0.3356 0.0000
Ce: 0.0000 0.1666 0.5000
Nd: 0.0000 0.5000 0.5000
As: 0.2388 0.0000 0.7376
As: 0.2504 0.1703 0.2622

Summary:
ΔH_f (0 K)   -1257 meV per atom
VASP energy   -5.468 eV/atom
DOS at the Fermi energy   22.59 states/eV per cell
Size of the total moment   0.00 μB per formula unit